## Dy2ZrPd8 (GGA-PBE)

Data for crystalline Dy2ZrPd8 at its relaxed geometry.

E_form	-730	meV per atom
DOS(E_F)	0.394	states/eV per atom
space-group type	C2/m (12)

Unit cell a=4.1768 b=6.7355 c=7.6367 alpha=108.09 beta=105.87 gamma=90.00
Fractional coordinates of all 11 atoms:
Dy  0.7831  0.3345  0.5662
Dy  0.2169  0.6655  0.4338
Zr  0.5000  0.0000  0.0000
Pd  0.4084  0.5616  0.8168
Pd  0.6735  0.9066  0.3471
Pd  0.8612  0.8272  0.7225
Pd  0.9647  0.2765  0.9295
Pd  0.1388  0.1728  0.2775
Pd  0.3265  0.0934  0.6529
Pd  0.5916  0.4384  0.1832
Pd  0.0353  0.7235  0.0705



## Cs2NpPO6 (GGA-PBE)

Data for crystalline Cs2NpPO6 at its relaxed geometry.

DOS(E_F)	0.491	states/eV per atom
space-group type	I4/mmm (139)
final energy	-7.08	eV per atom

Unit cell a=5.6136 b=5.6137 c=7.0732 alpha=66.62 beta=66.62 gamma=90.00
Fractional coordinates of all 10 atoms:
Cs  0.7500  0.2500  0.5000
Cs  0.2500  0.7500  0.5000
Np  0.0000  0.0000  0.0000
P  0.5000  0.5000  0.0000
O  0.1619  0.1619  0.6762
O  0.7058  0.7057  0.9999
O  0.2943  0.7057  0.0000
O  0.7057  0.2943  0.0000
O  0.2942  0.2943  0.0001
O  0.8381  0.8381  0.3238



## AcBC (GGA-PBE)

Data for crystalline AcBC at its relaxed geometry.

E_form	361	meV per atom
polymorph energy (0 for the lowest one)	568.3	meV per atom
DOS(E_F)	0.305	states/eV per atom
space-group type	P-6m2 (187)

Unit cell a=4.6294 b=3.2009 c=3.2009 alpha=120.00 beta=90.00 gamma=90.00
Fractional coordinates of all 3 atoms:
Ac  0.6667  0.6667  0.3333
B  0.1667  0.3333  0.6667
C  0.1666  0.0000  0.0000



## CoB2Pt (GGA-PBE)

Data for crystalline CoB2Pt at its relaxed geometry.

E_form	279	meV per atom
polymorph energy (0 for the lowest one)	0.0	meV per atom
DOS(E_F)	0.659	states/eV per atom
space-group type	I-42d (122)

Unit cell a=4.5933 b=4.5933 c=5.6592 alpha=66.06 beta=66.06 gamma=90.00
Fractional coordinates of all 8 atoms:
B  0.5990  0.1250  0.2500
B  0.1510  0.6250  0.2500
B  0.3750  0.4010  0.7500
B  0.8750  0.8490  0.7500
Co  0.5000  0.5000  0.0000
Co  0.2500  0.7500  0.5000
Pt  0.0000  0.0000  0.0000
Pt  0.7500  0.2500  0.5000



## NiH (GGA-PBE)

Data for crystalline NiH at its relaxed geometry.

DOS(E_F)	0.591	states/eV per atom
space-group type	P6_3/m (176)
final energy	-4.50	eV per atom

Unit cell a=6.2887 b=6.2887 c=2.5910 alpha=90.00 beta=90.00 gamma=120.00
Fractional coordinates of all 12 atoms:
Ni  0.8796  0.3008  0.2500
Ni  0.5788  0.8796  0.7500
Ni  0.6992  0.5788  0.2500
Ni  0.1204  0.6992  0.7500
Ni  0.4212  0.1204  0.2500
Ni  0.3008  0.4212  0.7500
H  0.7565  0.0020  0.2500
H  0.7545  0.7565  0.7500
H  0.9980  0.7545  0.2500
H  0.2435  0.9980  0.7500
H  0.2455  0.2435  0.2500
H  0.0020  0.2455  0.7500



## SrFeAs2Br (GGA-PBE)

Data for crystalline SrFeAs2Br at its relaxed geometry.

DOS(E_F)	0.673	states/eV per atom
space-group type	P4/mmm (123)
final energy	-4.69	eV per atom

Unit cell a=4.6003 b=4.6003 c=5.9294 alpha=90.00 beta=90.00 gamma=90.00
Fractional coordinates of all 5 atoms:
Sr  0.5000  0.5000  0.5000
As  0.0000  0.5000  0.0000
As  0.5000  0.0000  0.0000
Fe  0.0000  0.0000  0.0000
Br  0.0000  0.0000  0.5000